## Mg2TaP (PBE-GGA)

Data for Mg2TaP after structural relaxation.

Cell and atoms, written as CIF:
```
data_Mg2TaP
_cell_length_a 3.512
_cell_length_b 4.019
_cell_length_c 4.879
_cell_angle_alpha 90.00
_cell_angle_beta 90.00
_cell_angle_gamma 90.00
_space_group_name_H-M_alt 'P 1'
_space_group_IT_number 1
_space_group_name_Hall 'P 1'
loop_
_atom_site_label
_atom_site_type_symbol
_atom_site_fract_x
_atom_site_fract_y
_atom_site_fract_z
Ta1 Ta 0.000 0.500 0.500
P1 P 0.500 0.000 0.500
Mg1 Mg 0.000 0.000 0.000
Mg2 Mg 0.500 0.500 0.000
```

Calculated values
* theoretical density: 6.3 g/cm3
* symmetry: Pmmm (47)
* energy of formation: 14.5 kJ per mole of atoms
* total energy: -4.9623 eV/atom

***

## Ta2WBr (PBE-GGA)

Data for Ta2WBr after structural relaxation.

Cell and atoms, written as CIF:
```
data_Ta2WBr
_cell_length_a 9.466
_cell_length_b 9.466
_cell_length_c 9.466
_cell_angle_alpha 19.30
_cell_angle_beta 19.30
_cell_angle_gamma 19.30
_space_group_name_H-M_alt 'P 1'
_space_group_IT_number 1
_space_group_name_Hall 'P 1'
loop_
_atom_site_label
_atom_site_type_symbol
_atom_site_fract_x
_atom_site_fract_y
_atom_site_fract_z
Br1 Br 0.735 0.735 0.735
Ta1 Ta 0.250 0.250 0.250
Ta2 Ta 0.999 0.999 0.999
W1 W 0.516 0.516 0.516
```

Calculated values
* theoretical density: 12.8 g/cm3
* symmetry: R3m (160)
* formation energy (no corrections): 1.746 eV/f.u.
* distance to the lowest polymorph of the same formula: 267.2 meV/atom
* total energy: -9.1463 eV/atom

***

## TbCe3Pr2S6 (PBE-GGA)

Data for TbCe3Pr2S6 after structural relaxation.

Cell and atoms, written as CIF:
```
data_TbCe3Pr2S6
_cell_length_a 6.996
_cell_length_b 6.996
_cell_length_c 6.999
_cell_angle_alpha 99.60
_cell_angle_beta 99.60
_cell_angle_gamma 120.02
_space_group_name_H-M_alt 'P 1'
_space_group_IT_number 1
_space_group_name_Hall 'P 1'
loop_
_atom_site_label
_atom_site_type_symbol
_atom_site_fract_x
_atom_site_fract_y
_atom_site_fract_z
S1 S 0.592 0.917 0.751
S2 S 0.083 0.408 0.249
S3 S 0.408 0.083 0.249
S4 S 0.240 0.240 0.747
S5 S 0.760 0.760 0.253
S6 S 0.917 0.592 0.751
Ce1 Ce 0.830 0.170 0.500
Ce2 Ce 0.500 0.500 0.500
Ce3 Ce 0.170 0.830 0.500
Pr1 Pr 0.666 0.334 0.000
Pr2 Pr 0.334 0.666 0.000
Tb1 Tb 0.000 0.000 0.000
```

Calculated values
* theoretical density: 6.3 g/cm3
* symmetry: C2/m (12)
* formation energy (no corrections): -24.385 eV/f.u.
* total energy: -6.7617 eV/atom

***

## B5C7 (PBE-GGA)

Data for B5C7 after structural relaxation.

Cell and atoms, written as CIF:
```
data_B5C7
_cell_length_a 2.571
_cell_length_b 4.714
_cell_length_c 6.515
_cell_angle_alpha 91.04
_cell_angle_beta 90.00
_cell_angle_gamma 90.00
_space_group_name_H-M_alt 'P 1'
_space_group_IT_number 1
_space_group_name_Hall 'P 1'
loop_
_atom_site_label
_atom_site_type_symbol
_atom_site_fract_x
_atom_site_fract_y
_atom_site_fract_z
B1 B 0.000 0.331 0.343
B2 B 0.000 0.698 0.937
B3 B 0.000 0.658 0.622
B4 B 0.500 0.471 0.010
B5 B 0.500 0.826 0.335
C1 C 0.000 0.006 0.233
C2 C 0.500 0.162 0.913
C3 C 0.500 0.847 0.590
C4 C 0.000 0.020 0.998
C5 C 0.000 0.318 0.598
C6 C 0.500 0.161 0.672
C7 C 0.500 0.501 0.248
```

Calculated values
* theoretical density: 2.9 g/cm3
* symmetry: Pm (6)
* energy of formation: 36.7 kJ per mole of atoms
* distance to the lowest polymorph of the same formula: 122.9 meV/atom
* total energy: -7.7820 eV/atom

***

Question: Among the records above, which one has the highest theoretical density?
Answer: Ta2WBr

***

Question: Which value of total energy does entry 3 give?
Answer: -6.7617 eV/atom

***

Question: total energy of number 3 (TbCe3Pr2S6)?
Answer: -6.7617 eV/atom

***

Question: The highest theoretical density belongs to which entry?
Answer: Ta2WBr